1.
CsLaSiNi2 after structural relaxation, computed with GGA-PBEsol.

```
data_CsLaSiNi2
_symmetry_space_group_name_H-M 'P 4/m m m'
_symmetry_Int_Tables_number 123
_symmetry_space_group_name_Hall '-P 4 2'
_cell_length_a 4.7488
_cell_length_b 4.7488
_cell_length_c 5.5125
_cell_angle_alpha 90.00
_cell_angle_beta 90.00
_cell_angle_gamma 90.00
loop_
_atom_site_label
_atom_site_fract_x
_atom_site_fract_y
_atom_site_fract_z
Cs1 0.0000 0.0000 0.0000
La1 0.5000 0.5000 0.5000
Si1 0.0000 0.0000 0.5000
Ni1 0.0000 0.5000 0.0000
```

Values from the calculation:
Crystal system ... tetragonal
Magnetization ... 0.0 Bohr magnetons per cell

---

2.
Sc2TeAs after structural relaxation, computed with GGA-PBEsol.

```
data_Sc2TeAs
_symmetry_space_group_name_H-M 'P 4/m m m'
_symmetry_Int_Tables_number 123
_symmetry_space_group_name_Hall '-P 4 2'
_cell_length_a 4.9038
_cell_length_b 4.9038
_cell_length_c 3.4688
_cell_angle_alpha 90.00
_cell_angle_beta 90.00
_cell_angle_gamma 90.00
loop_
_atom_site_label
_atom_site_fract_x
_atom_site_fract_y
_atom_site_fract_z
Sc1 0.0000 0.5000 0.0000
Te1 0.0000 0.0000 0.5000
As1 0.5000 0.5000 0.5000
```

Values from the calculation:
Crystal system ... tetragonal
Magnetization ... 0.7 Bohr magnetons per cell

---

For reference, E_form (uncorrected) by record: 1.363 -0.907 eV per atom.